Material: Rb3Ce3MnO8
Method: DFT, PBE with a Hubbard U
State: optimized geometry

Summary:
Calculated density (g/cm³): 4.99
Final energy (eV/atom): -7.04
Crystal system: trigonal
D(E_F) (states/eV/f.u.): 7.40
Symmetry: No. 166

abc: 7.745 7.745 7.745
angles: 54.44 54.44 54.44
Element x y z (fractional)
Rb  0.000  0.500  0.500
Rb  0.500  0.000  0.500
Rb  0.500  0.500  0.000
Ce  0.000  0.000  0.500
Ce  0.000  0.500  0.000
Ce  0.500  0.000  0.000
Mn  0.500  0.500  0.500
O  0.219  0.723  0.723
O  0.226  0.226  0.226
O  0.277  0.277  0.781
O  0.277  0.781  0.277
O  0.723  0.219  0.723
O  0.723  0.723  0.219
O  0.774  0.774  0.774
O  0.781  0.277  0.277